DFT (PBE) results for crystalline NbCuTe4 at its relaxed geometry.

Calculated values
As for the space group: No. 12. The value obtained for the electronic total energy is -4.463 eV per atom.

```
12
Lattice="-2.757 -1.094 4.589 0.481 -7.554 -4.764 7.531 1.000 4.763" Properties=species:S:1:pos:R:3 pbc="T T T"
Nb 1.814 -3.097 0.352
Nb 3.441 -4.551 4.236
Cu 5.010 -1.109 2.746
Cu 0.244 -6.538 1.842
Te 2.770 -0.774 1.480
Te 7.199 -1.202 4.039
Te 0.856 -3.955 2.825
Te 3.200 -1.782 4.751
Te 2.054 -5.865 -0.163
Te 4.399 -3.692 1.763
Te -1.945 -6.446 0.549
Te 2.484 -6.873 3.108
```